# 1
Compound: ZnCo15
Source: the Open Quantum Materials Database
Functional: GGA-PBE
Structure: relaxed

a b c (Å): 6.9598 2.4858 33.6061
angles (deg): 90.00 90.00 90.00
Space group P2_1/m (No. 11)
Symmetry-distinct sites (fractional):
Zn: 0.1250 0.2500 0.2799 [2 per cell]
Co: 0.1249 0.2500 0.0552 [2 per cell]
Co: 0.1251 0.2500 0.1298 [2 per cell]
Co: 0.1250 0.2500 0.2021 [2 per cell]
Co: 0.1250 0.2500 0.8334 [2 per cell]
Co: 0.1250 0.2500 0.9076 [2 per cell]
Co: 0.1250 0.2500 0.9817 [2 per cell]
Co: 0.1288 0.2500 0.7595 [2 per cell]
Co: 0.3750 0.7500 0.0186 [2 per cell]
Co: 0.3750 0.7500 0.0923 [2 per cell]
Co: 0.3750 0.7500 0.1667 [2 per cell]
Co: 0.3750 0.7500 0.7251 [2 per cell]
Co: 0.3750 0.7500 0.7957 [2 per cell]
Co: 0.3751 0.7500 0.8708 [2 per cell]
Co: 0.3749 0.7500 0.9443 [2 per cell]
Co: 0.3788 0.7500 0.2405 [2 per cell]

Properties
Excess energy over the best structure of this formula in the dataset ... 37.9 meV/atom



# 2
Compound: ZnCo
Source: the Open Quantum Materials Database
Functional: GGA-PBE
Structure: relaxed

a b c (Å): 2.5927 8.4153 4.4877
angles (deg): 90.00 90.00 90.00
Space group Pmm2 (No. 25)
Symmetry-distinct sites (fractional):
Zn: 0.0000 0.0000 0.0000 [1 per cell]
Zn: 0.0000 0.2595 0.3342 [2 per cell]
Zn: 0.5000 0.0000 0.5163 [1 per cell]
Co: 0.0000 0.5000 0.0029 [1 per cell]
Co: 0.5000 0.2645 0.8320 [2 per cell]
Co: 0.5000 0.5000 0.5208 [1 per cell]

Properties
Uncorrected energy ... -4.152 eV/atom



# 3
Compound: Zn3Co
Source: the Open Quantum Materials Database
Functional: GGA-PBE
Structure: relaxed

a b c (Å): 5.2864 5.2864 4.2441
angles (deg): 90.00 90.00 120.00
Space group P6_3/mmc (No. 194)
Symmetry-distinct sites (fractional):
Zn: 0.1710 0.3420 0.2500 [6 per cell]
Co: 0.3333 0.6667 0.7500 [2 per cell]

Properties
Uncorrected energy ... -2.770 eV/atom